HgBiSe: relaxed, PBE.

Structure (CIF):
```
data_HgBiSe
_chemical_formula_sum 'Hg1 Bi1 Se1'
_symmetry_space_group_name_H-M 'P 3 m 1'
_symmetry_Int_Tables_number 156
_cell_length_a 4.0682
_cell_length_b 4.0682
_cell_length_c 5.9052
_cell_angle_alpha 90.00
_cell_angle_beta 90.00
_cell_angle_gamma 120.00
loop_
_symmetry_equiv_pos_as_xyz
'x,y,z'
'-y,x-y,z'
'-x+y,-x,z'
'-y,-x,z'
'-x+y,y,z'
'x,x-y,z'
loop_
_atom_site_label
_atom_site_fract_x
_atom_site_fract_y
_atom_site_fract_z
Hg1 0.0000 0.0000 0.0000
Bi1 0.3333 0.6667 0.6343
Se1 0.6667 0.3333 0.3240
```

Computed properties:
Theoretical density in g/cm³: 9.6
Uncorrected formation energy in kJ/mol of formula units: -14
DOS(E_F) in states/eV/cell: 1.40

DyYHo2: relaxed, PBE.

Structure (CIF):
```
data_DyYHo2
_chemical_formula_sum 'Dy4 Y4 Ho8'
_symmetry_space_group_name_H-M 'P 1 2/c 1'
_symmetry_Int_Tables_number 13
_cell_length_a 6.923
_cell_length_b 6.917
_cell_length_c 10.978
_cell_angle_alpha 90.00
_cell_angle_beta 90.03
_cell_angle_gamma 90.00
loop_
_symmetry_equiv_pos_as_xyz
'x,y,z'
'-x,-y,-z'
'-x,y,-z+1/2'
'x,-y,z+1/2'
loop_
_atom_site_label
_atom_site_fract_x
_atom_site_fract_y
_atom_site_fract_z
Dy1 0.125 0.125 0.387
Y1 0.374 0.375 0.614
Ho1 0.124 0.375 0.889
Ho2 0.375 0.125 0.112
```

Computed properties:
Theoretical density in g/cm³: 7.3
Energy relative to the elements in eV per atom: 0.216
DOS(E_F) in states/eV/cell: 30.76